Record 1
! Ba3Cd2Hg3 | Alexandria | PBE-GGA | optimized geometry; values from VASP
! Electronic total energy = -1.49 eV per atom
! Total magnetization = 0.00 μB per formula unit
! ΔE_f = -0.4296 eV/atom
! Theoretical density = 7.45 g/cm³
&SYSTEM
  ibrav = 0, nat = 16, ntyp = 3
/
ATOMIC_SPECIES
Ba 137.33 Ba.upf
Cd 112.41 Cd.upf
Hg 200.59 Hg.upf
CELL_PARAMETERS angstrom
2.597 -6.213 0.000
2.597 6.213 0.000
0.000 0.000 17.097
ATOMIC_POSITIONS crystal
Ba 0.093 0.907 0.601
Ba 0.093 0.907 0.899
Ba 0.374 0.626 0.750
Ba 0.626 0.374 0.250
Ba 0.907 0.093 0.101
Ba 0.907 0.093 0.399
Cd 0.206 0.794 0.098
Cd 0.206 0.794 0.402
Cd 0.794 0.206 0.598
Cd 0.794 0.206 0.902
Hg 0.338 0.662 0.250
Hg 0.388 0.612 0.543
Hg 0.388 0.612 0.957
Hg 0.612 0.388 0.043
Hg 0.612 0.388 0.457
Hg 0.662 0.338 0.750

---

Record 2
! Ba2Cd2Hg7 | Alexandria | PBE-GGA | optimized geometry; values from VASP
! Electronic total energy = -0.99 eV per atom
! Total magnetization = 0.00 μB per formula unit
! ΔE_f = -0.2781 eV/atom
! Theoretical density = 9.69 g/cm³
&SYSTEM
  ibrav = 0, nat = 11, ntyp = 3
/
ATOMIC_SPECIES
Ba 137.33 Ba.upf
Cd 112.41 Cd.upf
Hg 200.59 Hg.upf
CELL_PARAMETERS angstrom
6.902 -5.352 0.000
6.902 5.352 0.000
-1.515 0.000 4.414
ATOMIC_POSITIONS crystal
Ba 0.218 0.782 0.000
Ba 0.782 0.218 0.000
Cd 0.347 0.347 0.851
Cd 0.653 0.653 0.149
Hg 0.117 0.484 0.301
Hg 0.123 0.123 0.599
Hg 0.484 0.117 0.301
Hg 0.500 0.500 0.500
Hg 0.516 0.883 0.699
Hg 0.877 0.877 0.401
Hg 0.883 0.516 0.699

---

Record 3
! BaCdHg | Alexandria | PBE-GGA | optimized geometry; values from VASP
! Electronic total energy = -1.13 eV per atom
! Total magnetization = 0.00 μB per formula unit
! ΔE_f = -0.0849 eV/atom
! Theoretical density = 5.99 g/cm³
&SYSTEM
  ibrav = 0, nat = 3, ntyp = 3
/
ATOMIC_SPECIES
Ba 137.33 Ba.upf
Cd 112.41 Cd.upf
Hg 200.59 Hg.upf
CELL_PARAMETERS angstrom
0.000 3.966 3.966
3.966 0.000 3.966
3.966 3.966 0.000
ATOMIC_POSITIONS crystal
Ba 0.000 0.000 0.000
Cd 0.750 0.750 0.750
Hg 0.250 0.250 0.250

---

Record 4
! Ba2CdHg | Alexandria | PBE-GGA | optimized geometry; values from VASP
! E above lowest polymorph = 0.000 eV/atom
! Electronic total energy = -1.69 eV per atom
! Total magnetization = 0.00 μB per formula unit
! ΔE_f = -0.4202 eV/atom
! Theoretical density = 6.42 g/cm³
&SYSTEM
  ibrav = 0, nat = 4, ntyp = 3
/
ATOMIC_SPECIES
Ba 137.33 Ba.upf
Cd 112.41 Cd.upf
Hg 200.59 Hg.upf
CELL_PARAMETERS angstrom
0.000 4.236 4.236
4.236 0.000 4.236
4.236 4.236 0.000
ATOMIC_POSITIONS crystal
Ba 0.250 0.250 0.250
Ba 0.750 0.750 0.750
Cd 0.000 0.000 0.000
Hg 0.500 0.500 0.500

---

Record 5
! BaCd6Hg4 | Alexandria | PBE-GGA | optimized geometry; values from VASP
! E above lowest polymorph = 0.000 eV/atom
! Electronic total energy = -0.95 eV per atom
! Total magnetization = 0.00 μB per formula unit
! ΔE_f = -0.1623 eV/atom
! Theoretical density = 9.39 g/cm³
&SYSTEM
  ibrav = 0, nat = 11, ntyp = 3
/
ATOMIC_SPECIES
Ba 137.33 Ba.upf
Cd 112.41 Cd.upf
Hg 200.59 Hg.upf
CELL_PARAMETERS angstrom
8.285 0.000 0.000
-4.143 7.175 0.000
0.000 0.000 4.803
ATOMIC_POSITIONS crystal
Ba 0.000 0.000 0.000
Cd 0.205 0.411 0.500
Cd 0.205 0.795 0.500
Cd 0.539 0.079 0.000
Cd 0.539 0.461 0.000
Cd 0.589 0.795 0.500
Cd 0.921 0.461 0.000
Hg 0.333 0.667 0.000
Hg 0.393 0.197 0.500
Hg 0.803 0.197 0.500
Hg 0.803 0.607 0.500

---

Record 6
! Ba2CdHg2 | Alexandria | PBE-GGA | optimized geometry; values from VASP
! E above lowest polymorph = 0.142 eV/atom
! Electronic total energy = -1.36 eV per atom
! Total magnetization = 0.00 μB per formula unit
! ΔE_f = -0.2920 eV/atom
! Theoretical density = 6.58 g/cm³
&SYSTEM
  ibrav = 0, nat = 5, ntyp = 3
/
ATOMIC_SPECIES
Ba 137.33 Ba.upf
Cd 112.41 Cd.upf
Hg 200.59 Hg.upf
CELL_PARAMETERS angstrom
-3.307 3.307 4.546
3.307 -3.307 4.546
3.307 3.307 -4.546
ATOMIC_POSITIONS crystal
Ba 0.250 0.750 0.500
Ba 0.750 0.250 0.500
Cd 0.000 0.000 0.000
Hg 0.346 0.346 0.000
Hg 0.654 0.654 0.000

---

Record 7
! BaCd3Hg | Alexandria | PBE-GGA | optimized geometry; values from VASP
! E above lowest polymorph = 0.266 eV/atom
! Electronic total energy = -1.03 eV per atom
! Total magnetization = 0.00 μB per formula unit
! ΔE_f = -0.0392 eV/atom
! Theoretical density = 6.59 g/cm³
&SYSTEM
  ibrav = 0, nat = 5, ntyp = 3
/
ATOMIC_SPECIES
Ba 137.33 Ba.upf
Cd 112.41 Cd.upf
Hg 200.59 Hg.upf
CELL_PARAMETERS angstrom
5.541 0.000 0.000
0.000 5.541 0.000
0.000 0.000 5.541
ATOMIC_POSITIONS crystal
Ba 0.000 0.000 0.000
Cd 0.000 0.500 0.500
Cd 0.500 0.000 0.500
Cd 0.500 0.500 0.000
Hg 0.500 0.500 0.500

---

Record 8
! BaCd2Hg6 | Alexandria | PBE-GGA | optimized geometry; values from VASP
! E above lowest polymorph = 0.000 eV/atom
! Electronic total energy = -0.73 eV per atom
! Total magnetization = 0.00 μB per formula unit
! ΔE_f = -0.1083 eV/atom
! Theoretical density = 10.22 g/cm³
&SYSTEM
  ibrav = 0, nat = 9, ntyp = 3
/
ATOMIC_SPECIES
Ba 137.33 Ba.upf
Cd 112.41 Cd.upf
Hg 200.59 Hg.upf
CELL_PARAMETERS angstrom
9.154 0.000 0.000
-4.577 7.927 0.000
0.000 0.000 3.507
ATOMIC_POSITIONS crystal
Ba 0.000 0.000 0.000
Cd 0.333 0.667 0.000
Cd 0.667 0.333 0.000
Hg 0.000 0.341 0.500
Hg 0.000 0.659 0.500
Hg 0.341 0.000 0.500
Hg 0.341 0.341 0.500
Hg 0.659 0.000 0.500
Hg 0.659 0.659 0.500

---

Record 9
! BaCd3Hg | Alexandria | PBE-GGA | optimized geometry; values from VASP
! E above lowest polymorph = 0.769 eV/atom
! Electronic total energy = -0.53 eV per atom
! Total magnetization = 0.00 μB per formula unit
! ΔE_f = 0.4638 eV/atom
! Theoretical density = 3.39 g/cm³
&SYSTEM
  ibrav = 0, nat = 5, ntyp = 3
/
ATOMIC_SPECIES
Ba 137.33 Ba.upf
Cd 112.41 Cd.upf
Hg 200.59 Hg.upf
CELL_PARAMETERS angstrom
6.917 0.000 0.000
0.000 6.917 0.000
0.000 0.000 6.917
ATOMIC_POSITIONS crystal
Ba 0.000 0.000 0.000
Cd 0.000 0.000 0.500
Cd 0.000 0.500 0.000
Cd 0.500 0.000 0.000
Hg 0.500 0.500 0.500

---

Record 10
! Ba6CdHg5 | Alexandria | PBE-GGA | optimized geometry; values from VASP
! Electronic total energy = -1.65 eV per atom
! Total magnetization = 0.00 μB per formula unit
! ΔE_f = -0.4898 eV/atom
! Theoretical density = 7.16 g/cm³
&SYSTEM
  ibrav = 0, nat = 12, ntyp = 3
/
ATOMIC_SPECIES
Ba 137.33 Ba.upf
Cd 112.41 Cd.upf
Hg 200.59 Hg.upf
CELL_PARAMETERS angstrom
-2.986 4.205 8.957
2.986 -4.205 8.957
2.986 4.205 -8.957
ATOMIC_POSITIONS crystal
Ba 0.081 0.332 0.749
Ba 0.247 0.000 0.247
Ba 0.416 0.668 0.749
Ba 0.584 0.332 0.251
Ba 0.753 0.000 0.753
Ba 0.919 0.668 0.251
Cd 0.500 0.500 0.000
Hg 0.000 0.500 0.500
Hg 0.167 0.167 0.000
Hg 0.336 0.836 0.500
Hg 0.664 0.164 0.500
Hg 0.833 0.833 0.000

---

Record 11
! Ba2Cd3Hg17 | Alexandria | PBE-GGA | optimized geometry; values from VASP
! Electronic total energy = -0.67 eV per atom
! Total magnetization = 0.00 μB per formula unit
! ΔE_f = -0.1373 eV/atom
! Theoretical density = 10.43 g/cm³
&SYSTEM
  ibrav = 0, nat = 22, ntyp = 3
/
ATOMIC_SPECIES
Ba 137.33 Ba.upf
Cd 112.41 Cd.upf
Hg 200.59 Hg.upf
CELL_PARAMETERS angstrom
5.861 0.000 0.000
1.111 8.284 0.000
0.535 3.085 13.188
ATOMIC_POSITIONS crystal
Ba 0.145 0.148 0.225
Ba 0.855 0.852 0.775
Cd 0.000 0.500 0.000
Cd 0.500 0.000 0.000
Cd 0.500 0.000 0.500
Hg 0.000 0.000 0.000
Hg 0.000 0.000 0.500
Hg 0.052 0.383 0.416
Hg 0.173 0.743 0.349
Hg 0.252 0.312 0.855
Hg 0.274 0.574 0.172
Hg 0.338 0.118 0.693
Hg 0.378 0.710 0.921
Hg 0.395 0.693 0.674
Hg 0.500 0.500 0.500
Hg 0.605 0.307 0.326
Hg 0.622 0.290 0.079
Hg 0.662 0.882 0.307
Hg 0.726 0.426 0.828
Hg 0.748 0.688 0.145
Hg 0.827 0.257 0.651
Hg 0.948 0.617 0.584

---

Record 12
! Ba2CdHg | Alexandria | PBE-GGA | optimized geometry; values from VASP
! E above lowest polymorph = 0.083 eV/atom
! Electronic total energy = -1.60 eV per atom
! Total magnetization = 0.00 μB per formula unit
! ΔE_f = -0.3374 eV/atom
! Theoretical density = 6.53 g/cm³
&SYSTEM
  ibrav = 0, nat = 4, ntyp = 3
/
ATOMIC_SPECIES
Ba 137.33 Ba.upf
Cd 112.41 Cd.upf
Hg 200.59 Hg.upf
CELL_PARAMETERS angstrom
6.390 -2.088 0.000
6.390 2.088 0.000
-1.929 0.000 5.605
ATOMIC_POSITIONS crystal
Ba 0.000 0.000 0.000
Ba 0.200 0.200 0.637
Cd 0.442 0.442 0.445
Hg 0.750 0.750 0.181